Here is an optimized crystal structure of CaCo2Si from Alexandria via LeMat-Bulk. Energies are from PBE.

Structure (CIF):
```
data_CaCo2Si
_chemical_formula_sum 'Ca3 Co6 Si3'
_space_group_name_H-M_alt 'R -3 m'
_space_group_IT_number 166
_space_group_name_Hall '-R 3 2"'
_cell_length_a 4.0191
_cell_length_b 4.0191
_cell_length_c 15.1298
_cell_angle_alpha 90.00
_cell_angle_beta 90.00
_cell_angle_gamma 120.00
loop_
_atom_site_label
_atom_site_type_symbol
_atom_site_fract_x
_atom_site_fract_y
_atom_site_fract_z
_atom_site_occupancy
Ca1 Ca 0.0000 0.0000 0.0000 1
Co1 Co 0.0000 0.0000 0.1840 1
Si1 Si 0.0000 0.0000 0.5000 1
```

Output
energy = -68.83 eV for the cell shown
magnetic moment = 1.91 μB per formula unit
DOS at the Fermi energy = 1.075 states/eV per atom